Material: La4Ag3Au2
Method: DFT, PBE
State: optimized geometry

**Final energy**: -38.99 eV/cell
**SG**: P-3m1
**ΔH_f (0 K)**: -0.463 eV/atom
**M_tot**: 0.00 μB/f.u.

abc: 5.1929 5.1929 10.0852
angles: 90.00 90.00 120.00
Closest atoms and distances in Å follow each position.
Atoms (fractional coordinates):
1 La 0.0000 0.0000 0.1556  1 La 3.14, 7 Ag 3.35-3.47, 3 Au 3.38
2 La 0.0000 0.0000 0.8444  1 La 3.14, 7 Ag 3.35-3.47, 3 Au 3.38
3 La 0.3333 0.6667 0.3755  4 Au 3.07-3.16, 3 Ag 3.25
4 La 0.6667 0.3333 0.6245  4 Au 3.07-3.16, 3 Ag 3.25
5 Ag 0.0000 0.0000 0.5000  8 La 3.25-3.47, 6 Au 3.55
6 Ag 0.3333 0.6667 0.9933  3 Ag 3.00, 1 Au 3.07, 3 La 3.35
7 Ag 0.6667 0.3333 0.0067  3 Ag 3.00, 1 Au 3.07, 3 La 3.35
8 Au 0.3333 0.6667 0.6886  7 La 3.07-3.38, 1 Ag 3.07
9 Au 0.6667 0.3333 0.3114  7 La 3.07-3.38, 1 Ag 3.07